(1)
Computed, not measured: a relaxed K3TlHg7 crystal at the PBE level of DFT.

Values from the calculation:
D(E_F) ... 17.7 states/eV per cell
Final energy ... -0.8913 eV/atom
E_form ... -2.03 eV/f.u.

```
data_K3TlHg7
_chemical_formula_sum 'K12 Tl4 Hg28'
_symmetry_space_group_name_H-M 'C m c m'
_symmetry_Int_Tables_number 63
_symmetry_space_group_name_Hall '-C 2c 2'
_cell_length_a 4.368
_cell_length_b 23.392
_cell_length_c 15.190
_cell_angle_alpha 90.00
_cell_angle_beta 90.00
_cell_angle_gamma 90.00
loop_
_atom_site_label
_atom_site_type_symbol
_atom_site_fract_x
_atom_site_fract_y
_atom_site_fract_z
K1 K 0.000 0.115 0.042
K2 K 0.000 0.241 0.750
Tl1 Tl 0.000 0.030 0.750
Hg1 Hg 0.000 0.268 0.060
Hg2 Hg 0.000 0.379 0.151
Hg3 Hg 0.000 0.402 0.750
Hg4 Hg 0.000 0.496 0.599
```

***

(2)
Computed, not measured: a relaxed Cs2CeBe2Se4 crystal at the PBE level of DFT.

Values from the calculation:
D(E_F) ... 15.0 states/eV per cell
Final energy ... -4.2807 eV/atom
Raw formation energy ... -1.055 eV per atom

```
data_Cs2CeBe2Se4
_chemical_formula_sum 'Cs4 Ce2 Be4 Se8'
_symmetry_space_group_name_H-M 'C 1 2/m 1'
_symmetry_Int_Tables_number 12
_symmetry_space_group_name_Hall '-C 2y'
_cell_length_a 15.740
_cell_length_b 3.992
_cell_length_c 8.725
_cell_angle_alpha 90.00
_cell_angle_beta 110.68
_cell_angle_gamma 90.00
loop_
_atom_site_label
_atom_site_type_symbol
_atom_site_fract_x
_atom_site_fract_y
_atom_site_fract_z
Cs1 Cs 0.134 0.000 0.045
Ce1 Ce 0.000 0.000 0.500
Be1 Be 0.171 0.500 0.470
Se1 Se 0.036 0.500 0.271
Se2 Se 0.206 0.000 0.627
```

***

(3)
Computed, not measured: a relaxed La2PdBr crystal at the PBE level of DFT.

Values from the calculation:
D(E_F) ... 12.8 states/eV per cell
Final energy ... -5.2392 eV/atom
Raw formation energy ... -1.059 eV per atom
Polymorph energy (0 for the lowest one) ... 0.057 eV per formula unit

```
data_La2PdBr
_chemical_formula_sum 'La6 Pd3 Br3'
_symmetry_space_group_name_H-M 'R 3 m'
_symmetry_Int_Tables_number 160
_symmetry_space_group_name_Hall 'R 3 -2"'
_cell_length_a 4.2400
_cell_length_b 4.2400
_cell_length_c 23.9939
_cell_angle_alpha 90.00
_cell_angle_beta 90.00
_cell_angle_gamma 120.00
loop_
_atom_site_label
_atom_site_type_symbol
_atom_site_fract_x
_atom_site_fract_y
_atom_site_fract_z
La1 La 0.0000 0.0000 0.0000
La2 La 0.0000 0.0000 0.1975
Pd1 Pd 0.0000 0.0000 0.5994
Br1 Br 0.0000 0.0000 0.4311
```

***

(4)
Computed, not measured: a relaxed LaIn4PbSe8 crystal at the PBE level of DFT.

Values from the calculation:
D(E_F) ... 8.1 states/eV per cell
Final energy ... -4.0971 eV/atom
Raw formation energy ... -0.707 eV per atom

```
data_LaIn4PbSe8
_chemical_formula_sum 'La3 In12 Pb3 Se24'
_symmetry_space_group_name_H-M 'R 3 m'
_symmetry_Int_Tables_number 160
_symmetry_space_group_name_Hall 'R 3 -2"'
_cell_length_a 8.3498
_cell_length_b 8.3498
_cell_length_c 21.6295
_cell_angle_alpha 90.00
_cell_angle_beta 90.00
_cell_angle_gamma 120.00
loop_
_atom_site_label
_atom_site_type_symbol
_atom_site_fract_x
_atom_site_fract_y
_atom_site_fract_z
La1 La 0.0000 0.0000 0.0000
In1 In 0.0000 0.0000 0.6273
In2 In 0.1676 0.3351 0.8331
Pb1 Pb 0.0000 0.0000 0.3713
Se1 Se 0.0000 0.0000 0.2308
Se2 Se 0.0000 0.0000 0.7643
Se3 Se 0.0249 0.5125 0.7604
Se4 Se 0.1734 0.3468 0.5746
```